Entry 1:
VASP calculation (PBE) on a relaxed CaMn2In crystal.

a b c (Å): 7.947 7.947 6.036
angles (deg): 90.00 90.00 90.00
Positions (direct):
Ca 0.000 0.000 0.000
Ca 0.000 0.500 0.250
Ca 0.500 0.000 0.750
Ca 0.500 0.500 0.500
Mn 0.216 0.250 0.625
Mn 0.250 0.716 0.875
Mn 0.250 0.784 0.375
Mn 0.284 0.250 0.125
Mn 0.716 0.750 0.125
Mn 0.750 0.216 0.375
Mn 0.750 0.284 0.875
Mn 0.784 0.750 0.625
In 0.000 0.000 0.500
In 0.000 0.500 0.750
In 0.500 0.000 0.250
In 0.500 0.500 0.000

- calculated formation energy (eV/atom) = 0.60
- space-group type = I-42d
- Fermi-level density of states (states/eV per atom) = 1.039

***

Entry 2:
VASP calculation (PBE) on a relaxed CaMnIn2 crystal.

a b c (Å): 8.118 4.698 6.038
angles (deg): 90.00 116.84 90.00
Positions (direct):
Ca 0.000 0.000 0.000
Ca 0.500 0.500 0.000
Mn 0.000 0.500 0.500
Mn 0.500 0.000 0.500
In 0.219 0.000 0.657
In 0.281 0.500 0.343
In 0.719 0.500 0.657
In 0.781 0.000 0.343

- calculated formation energy (eV/atom) = -0.02
- space-group type = C2/m
- Fermi-level density of states (states/eV per atom) = 0.904

***

Entry 3:
VASP calculation (PBE) on a relaxed Ca4MnIn crystal.

a b c (Å): 6.634 6.634 6.634
angles (deg): 60.00 60.00 60.00
Positions (direct):
Ca 0.125 0.125 0.125
Ca 0.125 0.125 0.625
Ca 0.125 0.625 0.125
Ca 0.625 0.125 0.125
Mn 0.500 0.500 0.500
In 0.750 0.750 0.750

- calculated formation energy (eV/atom) = 0.53
- space-group type = F-43m
- Fermi-level density of states (states/eV per atom) = 1.282

***

Entry 4:
VASP calculation (PBE) on a relaxed CaMn2In crystal.

a b c (Å): 3.139 4.685 6.033
angles (deg): 90.00 100.97 90.00
Positions (direct):
Ca 0.000 0.000 0.000
Mn 0.307 0.500 0.704
Mn 0.693 0.500 0.296
In 0.500 0.000 0.500

- calculated formation energy (eV/atom) = 0.39
- space-group type = P2/m
- Fermi-level density of states (states/eV per atom) = 0.916

***

Entry 5:
VASP calculation (PBE) on a relaxed CaMnIn2 crystal.

a b c (Å): 3.776 3.776 6.992
angles (deg): 90.00 90.00 90.00
Positions (direct):
Ca 0.000 0.000 0.000
Mn 0.500 0.500 0.714
In 0.000 0.000 0.543
In 0.500 0.500 0.288

- calculated formation energy (eV/atom) = 0.10
- space-group type = P4mm
- Fermi-level density of states (states/eV per atom) = 0.808

***

Entry 6:
VASP calculation (PBE) on a relaxed Ca2MnIn crystal.

a b c (Å): 7.370 7.370 7.370
angles (deg): 90.00 90.00 90.00
Positions (direct):
Ca 0.000 0.000 0.000
Ca 0.000 0.500 0.500
Ca 0.250 0.250 0.250
Ca 0.250 0.750 0.750
Ca 0.500 0.000 0.500
Ca 0.500 0.500 0.000
Ca 0.750 0.250 0.750
Ca 0.750 0.750 0.250
Mn 0.250 0.250 0.750
Mn 0.250 0.750 0.250
Mn 0.750 0.250 0.250
Mn 0.750 0.750 0.750
In 0.000 0.000 0.500
In 0.000 0.500 0.000
In 0.500 0.000 0.000
In 0.500 0.500 0.500

- calculated formation energy (eV/atom) = 0.07
- space-group type = F-43m
- Fermi-level density of states (states/eV per atom) = 0.773

***

Entry 7:
VASP calculation (PBE) on a relaxed CaMn2In crystal.

a b c (Å): 6.178 9.753 3.064
angles (deg): 90.00 114.19 90.00
Positions (direct):
Ca 0.000 0.000 0.000
Ca 0.500 0.500 0.000
Mn 0.250 0.250 0.500
Mn 0.250 0.750 0.500
Mn 0.750 0.250 0.500
Mn 0.750 0.750 0.500
In 0.000 0.500 0.000
In 0.500 0.000 0.000

- calculated formation energy (eV/atom) = 0.45
- space-group type = C2/m
- Fermi-level density of states (states/eV per atom) = 0.795

***

Entry 8:
VASP calculation (PBE) on a relaxed CaMnIn3 crystal.

a b c (Å): 5.031 5.031 5.031
angles (deg): 90.00 90.00 90.00
Positions (direct):
Ca 0.000 0.000 0.000
Mn 0.500 0.500 0.500
In 0.000 0.500 0.500
In 0.500 0.000 0.500
In 0.500 0.500 0.000

- calculated formation energy (eV/atom) = 0.02
- space-group type = Pm-3m
- Fermi-level density of states (states/eV per atom) = 0.244

***

Entry 9:
VASP calculation (PBE) on a relaxed CaMnIn crystal.

a b c (Å): 3.581 3.581 11.291
angles (deg): 90.00 90.00 90.00
Positions (direct):
Ca 0.000 0.000 0.000
Ca 0.500 0.500 0.500
Mn 0.000 0.000 0.690
Mn 0.500 0.500 0.190
In 0.000 0.000 0.305
In 0.500 0.500 0.805

- calculated formation energy (eV/atom) = 0.10
- space-group type = I4mm
- Fermi-level density of states (states/eV per atom) = 0.885

***

Entry 10:
VASP calculation (PBE) on a relaxed CaMnIn crystal.

a b c (Å): 4.902 4.902 3.562
angles (deg): 90.00 90.00 120.00
Positions (direct):
Ca 0.000 0.000 0.000
Mn 0.333 0.667 0.500
In 0.667 0.333 0.500

- calculated formation energy (eV/atom) = 0.03
- space-group type = P-6m2
- Fermi-level density of states (states/eV per atom) = 0.622

***

Entry 11:
VASP calculation (PBE) on a relaxed CaMnIn crystal.

a b c (Å): 6.846 6.846 6.846
angles (deg): 90.00 90.00 90.00
Positions (direct):
Ca 0.000 0.000 0.000
Ca 0.000 0.500 0.500
Ca 0.500 0.000 0.500
Ca 0.500 0.500 0.000
Mn 0.250 0.250 0.250
Mn 0.250 0.750 0.750
Mn 0.750 0.250 0.750
Mn 0.750 0.750 0.250
In 0.000 0.000 0.500
In 0.000 0.500 0.000
In 0.500 0.000 0.000
In 0.500 0.500 0.500

- calculated formation energy (eV/atom) = 0.24
- space-group type = F-43m
- Fermi-level density of states (states/eV per atom) = 0.463

***

Entry 12:
VASP calculation (PBE) on a relaxed CaMnIn2 crystal.

a b c (Å): 4.706 4.706 20.064
angles (deg): 90.00 90.00 90.00
Positions (direct):
Ca 0.000 0.000 0.000
Ca 0.000 0.500 0.250
Ca 0.500 0.000 0.750
Ca 0.500 0.500 0.500
Mn 0.000 0.000 0.500
Mn 0.000 0.500 0.750
Mn 0.500 0.000 0.250
Mn 0.500 0.500 0.000
In 0.191 0.250 0.625
In 0.250 0.691 0.875
In 0.250 0.809 0.375
In 0.309 0.250 0.125
In 0.691 0.750 0.125
In 0.750 0.191 0.375
In 0.750 0.309 0.875
In 0.809 0.750 0.625

- calculated formation energy (eV/atom) = 0.26
- space-group type = I-42d
- Fermi-level density of states (states/eV per atom) = 0.810

***

Entry 13:
VASP calculation (PBE) on a relaxed CaMn2In2 crystal.

a b c (Å): 8.177 8.177 3.081
angles (deg): 90.00 90.00 90.00
Positions (direct):
Ca 0.000 0.000 0.000
Ca 0.500 0.500 0.000
Mn 0.118 0.382 0.000
Mn 0.382 0.882 0.000
Mn 0.618 0.118 0.000
Mn 0.882 0.618 0.000
In 0.174 0.674 0.500
In 0.326 0.174 0.500
In 0.674 0.826 0.500
In 0.826 0.326 0.500

- calculated formation energy (eV/atom) = 0.10
- space-group type = P4/mbm
- Fermi-level density of states (states/eV per atom) = 0.824
- E above lowest polymorph (meV/atom) = 0

***

Entry 14:
VASP calculation (PBE) on a relaxed Ca2MnIn crystal.

a b c (Å): 3.575 3.575 8.387
angles (deg): 90.00 90.00 90.00
Positions (direct):
Ca 0.000 0.000 0.233
Ca 0.000 0.000 0.767
Mn 0.500 0.500 0.000
In 0.500 0.500 0.500

- calculated formation energy (eV/atom) = 0.06
- space-group type = P4/mmm
- Fermi-level density of states (states/eV per atom) = 0.770

***

Entry 15:
VASP calculation (PBE) on a relaxed Ca3MnIn crystal.

a b c (Å): 5.940 5.940 5.940
angles (deg): 90.00 90.00 90.00
Positions (direct):
Ca 0.000 0.000 0.500
Ca 0.000 0.500 0.000
Ca 0.500 0.000 0.000
Mn 0.500 0.500 0.500
In 0.000 0.000 0.000

- calculated formation energy (eV/atom) = 0.49
- space-group type = Pm-3m
- Fermi-level density of states (states/eV per atom) = 1.135
- E above lowest polymorph (meV/atom) = 137